Record 1
The following is a DFT calculation (GGA-PBEsol) of a relaxed MnFe2W crystal.

The calculation puts the formation energy at 0.09 eV/atom. The crystal system is orthorhombic. For the total magnetic moment, the calculation gives 10.5 μB per cell. The energy above the most stable polymorph in this dataset comes out at 0.027 eV/atom.

The space group is Immm (No. 71) and the conventional cell measures 2.9920, 3.9704 and 8.1236 Å, with angles of 90.00, 90.00 and 90.00 degrees. The asymmetric unit holds Mn at (0.0000, 0.0000, 0.0000), Fe at (0.0000, 0.5000, 0.2526) and W at (0.0000, 0.0000, 0.5000).

---

Record 2
The following is a DFT calculation (GGA-PBEsol) of a relaxed HoHO2 crystal.

The crystal system is hexagonal. For the total magnetic moment, the calculation gives 0.0 μB per cell. The calculation puts the raw total energy at -7.32 eV per atom.

The space group is P6_3/mmc (No. 194) and the conventional cell measures 3.4583, 3.4583 and 9.1306 Å, with angles of 90.00, 90.00 and 120.00 degrees. The asymmetric unit holds Ho at (0.0000, 0.0000, 0.0000), H at (0.3333, 0.6667, 0.2500) and O at (0.3333, 0.6667, 0.1165).

---

Record 3
The following is a DFT calculation (GGA-PBEsol) of a relaxed DyInAu crystal.

The calculation puts the formation energy at -0.80 eV/atom. The crystal system is hexagonal. For the total magnetic moment, the calculation gives 0.0 μB per cell.

The space group is P-62m (No. 189) and the conventional cell measures 7.7004, 7.7004 and 3.8422 Å, with angles of 90.00, 90.00 and 120.00 degrees. The asymmetric unit holds Dy at (0.0000, 0.5979, 0.0000), In at (0.0000, 0.2644, 0.5000), Au at (0.0000, 0.0000, 0.0000) and Au at (0.3333, 0.6667, 0.5000).